A plane-wave DFT calculation with PBE was carried out for a geometry-optimized LiSnS structure.

Computed properties:
For the total energy, the calculation gives -4.00 eV per atom. The calculation puts the energy above the most stable polymorph in this dataset at 0.34 eV per formula unit. The calculation puts the density of states at the Fermi level at 0.00 states/eV/f.u. The formation energy without anion corrections comes out at -0.65 eV per atom.

Unit cell a=6.748 b=6.922 c=7.251 alpha=109.44 beta=117.43 gamma=97.49
Space group P1 (No. 1)
One atom of each set of equivalent atoms:
Li1 0.000 0.000 0.000
Li2 0.094 0.028 0.514
Li3 0.230 0.508 0.248
Li4 0.712 0.505 0.230
Sn1 0.004 0.467 0.735
Sn2 0.525 0.583 0.766
Sn3 0.528 0.997 0.089
Sn4 0.550 0.090 0.532
S1 0.284 0.241 0.956
S2 0.699 0.752 0.563
S3 0.945 0.711 0.136
S4 0.963 0.272 0.311

---

A plane-wave DFT calculation with PBE was carried out for a geometry-optimized Rb4HfO4 structure.

Computed properties:
For the total energy, the calculation gives -5.67 eV per atom. The calculation puts the density of states at the Fermi level at 0.00 states/eV/f.u. The formation energy without anion corrections comes out at -1.93 eV per atom.

Unit cell a=6.134 b=6.147 c=11.255 alpha=90.00 beta=90.00 gamma=90.00
Space group I222 (No. 23)
One atom of each set of equivalent atoms:
Rb1 0.189 0.190 0.149
Hf1 0.000 0.000 0.500
O1 0.184 0.184 0.397

---

A plane-wave DFT calculation with PBE was carried out for a geometry-optimized Li3Pa3CuS8 structure.

Computed properties:
For the total energy, the calculation gives -6.05 eV per atom. The calculation puts the density of states at the Fermi level at 15.88 states/eV/f.u. The formation energy without anion corrections comes out at -1.30 eV per atom.

Unit cell a=13.137 b=7.723 c=7.616 alpha=90.00 beta=124.60 gamma=90.00
Space group C2/m (No. 12)
One atom of each set of equivalent atoms:
Li1 0.000 0.000 0.000
Li2 0.250 0.250 0.500
Pa1 0.000 0.500 0.500
Pa2 0.250 0.250 0.000
Cu1 0.000 0.000 0.500
S1 0.001 0.246 0.744
S2 0.242 0.000 0.745
S3 0.245 0.000 0.253

---

A plane-wave DFT calculation with PBE was carried out for a geometry-optimized Pu2CdPd3 structure.

Computed properties:
The calculated formation energy is -246 meV per atom. For the total energy, the calculation gives -7.77 eV per atom. The calculation puts the energy above the most stable polymorph in this dataset at 0.00 eV per formula unit. The calculation puts the density of states at the Fermi level at 23.72 states/eV/f.u.

Unit cell a=4.701 b=5.567 c=10.183 alpha=90.00 beta=90.00 gamma=90.00
Space group Immm (No. 71)
One atom of each set of equivalent atoms:
Pu1 0.000 0.000 0.175
Cd1 0.000 0.000 0.500
Pd1 0.000 0.500 0.141
Pd2 0.000 0.500 0.500

---

A plane-wave DFT calculation with PBE was carried out for a geometry-optimized Ac4La5Nd2 structure.

Computed properties:
The calculated formation energy is 158 meV per atom. For the total energy, the calculation gives -4.44 eV per atom. The calculation puts the density of states at the Fermi level at 20.87 states/eV/f.u.

Unit cell a=18.715 b=3.691 c=12.768 alpha=90.00 beta=93.48 gamma=90.00
Space group C2/m (No. 12)
One atom of each set of equivalent atoms:
Ac1 0.041 0.000 0.266
Ac2 0.219 0.500 0.361
La1 0.000 0.500 0.000
La2 0.139 0.000 0.823
La3 0.190 0.000 0.089
Nd1 0.092 0.000 0.539

---

A plane-wave DFT calculation with PBE was carried out for a geometry-optimized HgGeSbI2 structure.

Computed properties:
For the total energy, the calculation gives -1.74 eV per atom. The calculation puts the energy above the most stable polymorph in this dataset at 2.17 eV per formula unit. The calculation puts the density of states at the Fermi level at 3.72 states/eV/f.u. The formation energy without anion corrections comes out at 0.69 eV per atom.

Unit cell a=5.780 b=5.780 c=5.710 alpha=90.00 beta=90.00 gamma=90.00
Space group P4/mmm (No. 123)
One atom of each set of equivalent atoms:
Hg1 0.000 0.000 0.000
Ge1 0.500 0.500 0.500
Sb1 0.000 0.000 0.500
I1 0.000 0.500 0.000

---

A plane-wave DFT calculation with PBE was carried out for a geometry-optimized TbPm6Y3 structure.

Computed properties:
The calculated formation energy is 125 meV per atom. For the total energy, the calculation gives -5.13 eV per atom. The calculation puts the energy above the most stable polymorph in this dataset at 0.00 eV per formula unit. The calculation puts the density of states at the Fermi level at 16.62 states/eV/f.u.

Unit cell a=9.899 b=21.377 c=6.406 alpha=90.00 beta=90.00 gamma=90.00
Space group Cmc2_1 (No. 36)
One atom of each set of equivalent atoms:
Tb1 0.000 0.161 0.000
Pm1 0.000 0.018 0.181
Pm2 0.000 0.300 0.223
Pm3 0.175 0.280 0.690
Pm4 0.182 0.440 0.450
Y1 0.000 0.421 0.929
Y2 0.168 0.125 0.521

---

A plane-wave DFT calculation with PBE was carried out for a geometry-optimized YMg2HgPb structure.

Computed properties:
The calculated formation energy is 192 meV per atom. For the total energy, the calculation gives -2.54 eV per atom. The calculation puts the density of states at the Fermi level at 3.17 states/eV/f.u.

Unit cell a=5.087 b=5.087 c=5.939 alpha=90.00 beta=90.00 gamma=90.00
Space group P4/mmm (No. 123)
One atom of each set of equivalent atoms:
Y1 0.000 0.000 0.000
Mg1 0.000 0.500 0.500
Hg1 0.500 0.500 0.500
Pb1 0.500 0.500 0.000

---

A plane-wave DFT calculation with PBE was carried out for a geometry-optimized NdNi5H7 structure.

Computed properties:
For the total energy, the calculation gives -4.51 eV per atom. The calculation puts the density of states at the Fermi level at 7.65 states/eV/f.u.

Unit cell a=6.866 b=9.300 c=4.714 alpha=90.00 beta=133.12 gamma=90.00
Space group Cm (No. 8)
One atom of each set of equivalent atoms:
Nd1 0.000 0.000 0.000
Ni1 0.003 0.500 0.187
Ni2 0.249 0.198 0.733
Ni3 0.257 0.301 0.242
H1 0.004 0.244 0.239
H2 0.004 0.251 0.738
H3 0.233 0.000 0.715
H4 0.272 0.500 0.255
H5 0.498 0.000 0.506

---

A plane-wave DFT calculation with PBE was carried out for a geometry-optimized Ce2CF structure.

Computed properties:
For the total energy, the calculation gives -7.22 eV per atom. The calculation puts the energy above the most stable polymorph in this dataset at 0.00 eV per formula unit. The calculation puts the density of states at the Fermi level at 4.55 states/eV/f.u. The formation energy without anion corrections comes out at -1.48 eV per atom.

Unit cell a=3.6431 b=3.6431 c=17.8531 alpha=90.00 beta=90.00 gamma=120.00
Space group R-3m (No. 166, hexagonal axes)
One atom of each set of equivalent atoms:
Ce1 0.0000 0.0000 0.2446
C1 0.0000 0.0000 0.5000
F1 0.0000 0.0000 0.0000

---

A plane-wave DFT calculation with PBE was carried out for a geometry-optimized KAlSbO5 structure.

Computed properties:
For the total energy, the calculation gives -5.99 eV per atom. The calculation puts the density of states at the Fermi level at 3.61 states/eV/f.u. The formation energy without anion corrections comes out at -1.77 eV per atom.

Unit cell a=7.167 b=9.462 c=7.560 alpha=90.00 beta=117.15 gamma=90.00
Space group C2/c (No. 15)
One atom of each set of equivalent atoms:
K1 0.000 0.167 0.250
Al1 0.000 0.198 0.750
Sb1 0.000 0.500 0.000
O1 0.000 0.435 0.250
O2 0.084 0.305 0.606
O3 0.204 0.076 0.893

---

A plane-wave DFT calculation with PBE was carried out for a geometry-optimized MnNbCoHSe structure.

Computed properties:
For the total energy, the calculation gives -6.67 eV per atom. The calculation puts the energy above the most stable polymorph in this dataset at 0.46 eV per formula unit. The calculation puts the density of states at the Fermi level at 1.35 states/eV/f.u.

Unit cell a=6.773 b=3.998 c=5.349 alpha=90.00 beta=113.69 gamma=90.00
Space group Cm (No. 8)
One atom of each set of equivalent atoms:
Mn1 0.000 0.000 0.000
Nb1 0.325 0.500 0.447
Co1 0.440 0.000 0.295
H1 0.199 0.000 0.325
Se1 0.101 0.500 0.791